[1]
{"formula": "SiWO3", "functional": "PBEsol", "state": "relaxed", "lattice_angstrom": [[3.910, 0.000, 0.000], [0.000, 3.910, 0.000], [0.000, 0.000, 3.910]], "species": ["O", "O", "O", "Si", "W"], "fractional_positions": [[0.000, 0.500, 0.000], [0.500, 0.000, 0.000], [0.000, 0.000, 0.500], [0.500, 0.500, 0.500], [0.000, 0.000, 0.000]], "e_tot_ev_per_atom": -8.173, "sg": "Pm-3m, No. 221", "e_form_raw_mev_per_atom": -1112.2}



[2]
{"formula": "ZnSi4WO10", "functional": "PBEsol", "state": "relaxed", "lattice_angstrom": [[-5.421, 4.058, -2.744], [-4.800, -5.217, 1.769], [-1.994, 6.359, 13.346]], "species": ["Si", "Si", "Si", "Si", "Si", "Si", "Si", "Si", "Si", "Si", "Si", "Si", "Si", "Si", "Si", "Si", "W", "W", "W", "W", "O", "O", "O", "O", "O", "O", "O", "O", "O", "O", "O", "O", "O", "O", "O", "O", "O", "O", "O", "O", "O", "O", "O", "O", "O", "O", "O", "O", "O", "O", "O", "O", "O", "O", "O", "O", "O", "O", "O", "O", "Zn", "Zn", "Zn", "Zn"], "fractional_positions": [[0.737, 0.652, 0.146], [0.763, 0.848, 0.854], [0.152, 0.763, 0.146], [0.737, 0.348, 0.646], [0.848, 0.763, 0.646], [0.263, 0.348, 0.146], [0.152, 0.237, 0.646], [0.652, 0.263, 0.854], [0.763, 0.152, 0.354], [0.263, 0.652, 0.646], [0.652, 0.737, 0.354], [0.237, 0.152, 0.854], [0.237, 0.848, 0.354], [0.348, 0.263, 0.354], [0.848, 0.237, 0.146], [0.348, 0.737, 0.854], [0.500, 0.000, 0.573], [0.500, 0.000, 0.073], [0.000, 0.500, 0.927], [0.000, 0.500, 0.427], [0.585, 0.722, 0.074], [0.433, 0.247, 0.872], [0.753, 0.567, 0.628], [0.067, 0.253, 0.128], [0.567, 0.753, 0.872], [0.933, 0.253, 0.628], [0.681, 0.681, 0.250], [0.247, 0.433, 0.628], [0.319, 0.319, 0.250], [0.753, 0.433, 0.128], [0.222, 0.085, 0.574], [0.819, 0.181, 0.250], [0.567, 0.247, 0.372], [0.278, 0.585, 0.926], [0.253, 0.067, 0.372], [0.747, 0.067, 0.872], [0.415, 0.722, 0.574], [0.085, 0.222, 0.926], [0.915, 0.222, 0.426], [0.722, 0.415, 0.926], [0.278, 0.415, 0.426], [0.433, 0.753, 0.372], [0.067, 0.747, 0.628], [0.681, 0.319, 0.750], [0.915, 0.778, 0.926], [0.933, 0.747, 0.128], [0.778, 0.085, 0.074], [0.819, 0.819, 0.750], [0.085, 0.778, 0.426], [0.181, 0.181, 0.750], [0.722, 0.585, 0.426], [0.415, 0.278, 0.074], [0.319, 0.681, 0.750], [0.253, 0.933, 0.872], [0.747, 0.933, 0.372], [0.778, 0.915, 0.574], [0.222, 0.915, 0.074], [0.181, 0.819, 0.250], [0.247, 0.567, 0.128], [0.585, 0.278, 0.574], [0.000, 0.000, 0.000], [0.500, 0.500, 0.000], [0.000, 0.000, 0.500], [0.500, 0.500, 0.500]], "e_tot_ev_per_atom": -7.850, "sg": "P4/ncc, No. 130", "e_form_raw_mev_per_atom": -2171.1}



[3]
{"formula": "Y2Si2O7", "functional": "PBEsol", "state": "relaxed", "lattice_angstrom": [[6.592, 0.003, 0.013], [-0.216, 6.612, -0.003], [-0.251, -0.928, 11.952]], "species": ["Si", "Si", "Si", "Si", "Si", "Si", "Si", "Si", "O", "O", "O", "O", "O", "O", "O", "O", "O", "O", "O", "O", "O", "O", "O", "O", "O", "O", "O", "O", "O", "O", "O", "O", "O", "O", "O", "O", "Y", "Y", "Y", "Y", "Y", "Y", "Y", "Y"], "fractional_positions": [[0.143, 0.625, 0.380], [0.843, 0.852, 0.115], [0.157, 0.148, 0.885], [0.378, 0.724, 0.595], [0.489, 0.666, 0.826], [0.511, 0.334, 0.174], [0.857, 0.375, 0.620], [0.622, 0.276, 0.405], [0.226, 0.904, 0.624], [0.413, 0.171, 0.447], [0.001, 0.986, 0.814], [0.769, 0.916, 0.993], [0.381, 0.137, 0.214], [0.401, 0.564, 0.695], [0.039, 0.227, 0.575], [0.599, 0.436, 0.305], [0.713, 0.429, 0.511], [0.648, 0.511, 0.875], [0.647, 0.790, 0.185], [0.001, 0.335, 0.918], [0.700, 0.292, 0.093], [0.999, 0.665, 0.082], [0.999, 0.014, 0.186], [0.587, 0.829, 0.553], [0.287, 0.782, 0.313], [0.619, 0.863, 0.786], [0.774, 0.096, 0.376], [0.713, 0.218, 0.687], [0.287, 0.571, 0.489], [0.231, 0.084, 0.007], [0.352, 0.489, 0.125], [0.928, 0.585, 0.689], [0.353, 0.210, 0.815], [0.072, 0.415, 0.311], [0.961, 0.773, 0.425], [0.300, 0.708, 0.907], [0.323, 0.827, 0.110], [0.629, 0.785, 0.366], [0.883, 0.909, 0.641], [0.677, 0.173, 0.890], [0.117, 0.091, 0.359], [0.371, 0.215, 0.634], [0.048, 0.327, 0.115], [0.952, 0.673, 0.885]], "e_tot_ev_per_atom": -8.888, "sg": "P-1, No. 2", "e_form_raw_mev_per_atom": -3262.0}



[4]
{"formula": "Y3Si3O11", "functional": "PBEsol", "state": "relaxed", "lattice_angstrom": [[-0.583, -6.377, 3.611], [3.484, -3.868, -8.890], [10.522, 1.102, 3.644]], "species": ["O", "O", "O", "O", "O", "O", "O", "O", "O", "O", "O", "O", "O", "O", "O", "O", "O", "O", "O", "O", "O", "O", "O", "O", "O", "O", "O", "O", "O", "O", "O", "O", "O", "O", "O", "O", "O", "O", "O", "O", "O", "O", "O", "O", "Si", "Si", "Si", "Si", "Si", "Si", "Si", "Si", "Si", "Si", "Si", "Si", "Y", "Y", "Y", "Y", "Y", "Y", "Y", "Y", "Y", "Y", "Y", "Y"], "fractional_positions": [[0.485, 0.137, 0.482], [0.544, 0.395, 0.555], [0.808, 0.299, 0.403], [0.515, 0.863, 0.518], [0.956, 0.105, 0.055], [0.959, 0.863, 0.519], [0.480, 0.370, 0.283], [0.288, 0.802, 0.350], [0.826, 0.618, 0.605], [0.326, 0.118, 0.895], [0.318, 0.029, 0.287], [0.818, 0.529, 0.213], [0.980, 0.870, 0.217], [0.847, 0.737, 0.814], [0.740, 0.015, 0.319], [0.026, 0.369, 0.594], [0.015, 0.363, 0.982], [0.020, 0.130, 0.783], [0.692, 0.201, 0.903], [0.308, 0.799, 0.097], [0.474, 0.131, 0.094], [0.712, 0.198, 0.650], [0.682, 0.971, 0.713], [0.182, 0.471, 0.787], [0.520, 0.630, 0.717], [0.174, 0.382, 0.395], [0.044, 0.895, 0.945], [0.985, 0.637, 0.018], [0.974, 0.631, 0.406], [0.041, 0.137, 0.481], [0.260, 0.985, 0.681], [0.212, 0.698, 0.850], [0.459, 0.363, 0.981], [0.526, 0.869, 0.906], [0.760, 0.485, 0.819], [0.192, 0.701, 0.597], [0.653, 0.763, 0.314], [0.674, 0.882, 0.105], [0.788, 0.302, 0.150], [0.541, 0.637, 0.019], [0.240, 0.515, 0.181], [0.456, 0.605, 0.445], [0.153, 0.263, 0.186], [0.347, 0.237, 0.686], [0.232, 0.113, 0.760], [0.506, 0.790, 0.033], [0.023, 0.742, 0.908], [0.477, 0.758, 0.408], [0.268, 0.387, 0.260], [0.768, 0.887, 0.240], [0.977, 0.258, 0.092], [0.494, 0.210, 0.967], [0.732, 0.613, 0.740], [0.523, 0.242, 0.592], [0.006, 0.290, 0.467], [0.994, 0.710, 0.533], [0.200, 0.000, 0.101], [0.584, 0.178, 0.277], [0.735, 0.481, 0.029], [0.700, 0.500, 0.399], [0.800, 0.000, 0.899], [0.300, 0.500, 0.601], [0.235, 0.981, 0.471], [0.084, 0.678, 0.223], [0.416, 0.822, 0.723], [0.916, 0.322, 0.777], [0.765, 0.019, 0.529], [0.265, 0.519, 0.971]], "e_tot_ev_per_atom": -8.710, "sg": "P2_1/c, No. 14", "e_form_raw_mev_per_atom": -3095.4}



[5]
{"formula": "Zn2SiO4", "functional": "PBEsol", "state": "relaxed", "lattice_angstrom": [[6.105, 0.000, 0.000], [0.000, 9.729, 0.000], [0.000, 0.000, 10.912]], "species": ["O", "O", "O", "O", "O", "O", "O", "O", "O", "O", "O", "O", "O", "O", "O", "O", "O", "O", "O", "O", "O", "O", "O", "O", "O", "O", "O", "O", "O", "O", "O", "O", "Zn", "Zn", "Zn", "Zn", "Zn", "Zn", "Zn", "Zn", "Zn", "Zn", "Zn", "Zn", "Zn", "Zn", "Zn", "Zn", "Si", "Si", "Si", "Si", "Si", "Si", "Si", "Si"], "fractional_positions": [[0.648, 0.023, 0.901], [0.331, 0.784, 0.748], [0.169, 0.784, 0.248], [0.405, 0.270, 0.988], [0.923, 0.482, 0.364], [0.077, 0.518, 0.636], [0.923, 0.982, 0.136], [0.405, 0.770, 0.512], [0.148, 0.477, 0.901], [0.169, 0.284, 0.252], [0.423, 0.518, 0.136], [0.648, 0.523, 0.599], [0.831, 0.216, 0.752], [0.905, 0.230, 0.988], [0.095, 0.270, 0.488], [0.905, 0.730, 0.512], [0.577, 0.482, 0.864], [0.331, 0.284, 0.752], [0.669, 0.716, 0.248], [0.148, 0.977, 0.599], [0.352, 0.977, 0.099], [0.831, 0.716, 0.748], [0.077, 0.018, 0.864], [0.595, 0.730, 0.012], [0.595, 0.230, 0.488], [0.577, 0.982, 0.636], [0.423, 0.018, 0.364], [0.669, 0.216, 0.252], [0.852, 0.523, 0.099], [0.095, 0.770, 0.012], [0.352, 0.477, 0.401], [0.852, 0.023, 0.401], [0.556, 0.184, 0.661], [0.346, 0.582, 0.562], [0.556, 0.684, 0.839], [0.056, 0.316, 0.661], [0.444, 0.316, 0.161], [0.154, 0.082, 0.438], [0.154, 0.582, 0.062], [0.654, 0.418, 0.438], [0.654, 0.918, 0.062], [0.846, 0.418, 0.938], [0.056, 0.816, 0.839], [0.944, 0.184, 0.161], [0.346, 0.082, 0.938], [0.444, 0.816, 0.339], [0.846, 0.918, 0.562], [0.944, 0.684, 0.339], [0.863, 0.620, 0.624], [0.637, 0.620, 0.124], [0.637, 0.120, 0.376], [0.137, 0.380, 0.376], [0.137, 0.880, 0.124], [0.363, 0.880, 0.624], [0.863, 0.120, 0.876], [0.363, 0.380, 0.876]], "e_tot_ev_per_atom": -6.278, "sg": "Pbca, No. 61", "e_form_raw_mev_per_atom": -2005.0}



[6]
{"formula": "Zn2SiO4", "functional": "PBEsol", "state": "relaxed", "lattice_angstrom": [[-1.757, -1.632, -4.148], [5.472, -1.958, -1.547], [-1.996, -9.068, 4.413]], "species": ["O", "O", "O", "O", "O", "O", "O", "O", "O", "O", "O", "O", "O", "O", "O", "O", "Si", "Si", "Si", "Si", "Zn", "Zn", "Zn", "Zn", "Zn", "Zn", "Zn", "Zn"], "fractional_positions": [[0.717, 0.750, 0.053], [0.783, 0.750, 0.553], [0.283, 0.250, 0.947], [0.732, 0.250, 0.593], [0.279, 0.032, 0.165], [0.217, 0.250, 0.447], [0.268, 0.750, 0.407], [0.721, 0.968, 0.835], [0.768, 0.250, 0.093], [0.279, 0.468, 0.165], [0.779, 0.532, 0.335], [0.721, 0.532, 0.835], [0.779, 0.968, 0.335], [0.221, 0.468, 0.665], [0.221, 0.032, 0.665], [0.232, 0.750, 0.907], [0.427, 0.250, 0.096], [0.073, 0.250, 0.596], [0.927, 0.750, 0.404], [0.573, 0.750, 0.904], [0.015, 0.750, 0.721], [0.000, 0.000, 0.000], [0.500, 0.000, 0.500], [0.985, 0.250, 0.279], [0.500, 0.500, 0.500], [0.000, 0.500, 0.000], [0.515, 0.250, 0.779], [0.485, 0.750, 0.221]], "e_tot_ev_per_atom": -6.259, "sg": "Pnma, No. 62", "e_form_raw_mev_per_atom": -1986.9}



[7]
{"formula": "Zn2SiO4", "functional": "PBEsol", "state": "relaxed", "lattice_angstrom": [[-2.203, 0.539, -8.346], [-7.260, -0.893, 4.614], [3.688, 7.487, 2.266]], "species": ["Zn", "Zn", "Zn", "Zn", "Zn", "Zn", "Zn", "Zn", "Zn", "Zn", "Zn", "Zn", "O", "O", "O", "O", "O", "O", "O", "O", "O", "O", "O", "O", "O", "O", "O", "O", "O", "O", "O", "O", "O", "O", "O", "O", "Si", "Si", "Si", "Si", "Si", "Si"], "fractional_positions": [[0.390, 0.559, 0.796], [0.899, 0.126, 0.723], [0.796, 0.390, 0.559], [0.441, 0.204, 0.610], [0.101, 0.874, 0.277], [0.610, 0.441, 0.204], [0.126, 0.723, 0.899], [0.277, 0.101, 0.874], [0.204, 0.610, 0.441], [0.559, 0.796, 0.390], [0.723, 0.899, 0.126], [0.874, 0.277, 0.101], [0.354, 0.034, 0.360], [0.026, 0.975, 0.691], [0.933, 0.248, 0.574], [0.974, 0.025, 0.309], [0.360, 0.354, 0.034], [0.034, 0.360, 0.354], [0.602, 0.268, 0.312], [0.398, 0.732, 0.688], [0.025, 0.309, 0.974], [0.426, 0.067, 0.752], [0.646, 0.966, 0.640], [0.966, 0.640, 0.646], [0.067, 0.752, 0.426], [0.268, 0.312, 0.602], [0.574, 0.933, 0.248], [0.752, 0.426, 0.067], [0.248, 0.574, 0.933], [0.688, 0.398, 0.732], [0.640, 0.646, 0.966], [0.691, 0.026, 0.975], [0.309, 0.974, 0.025], [0.975, 0.691, 0.026], [0.732, 0.688, 0.398], [0.312, 0.602, 0.268], [0.539, 0.946, 0.766], [0.461, 0.054, 0.234], [0.054, 0.234, 0.461], [0.234, 0.461, 0.054], [0.766, 0.539, 0.946], [0.946, 0.766, 0.539]], "e_tot_ev_per_atom": -6.323, "sg": "R-3, No. 148", "e_form_raw_mev_per_atom": -2050.0}



[8]
{"formula": "ZrSi3O", "functional": "PBEsol", "state": "relaxed", "lattice_angstrom": [[-3.020, -0.497, 3.965], [-3.944, -0.427, -3.058], [0.641, -4.966, -0.134]], "species": ["Si", "Si", "Si", "O", "Zr"], "fractional_positions": [[0.500, 0.000, 0.000], [0.000, 0.000, 0.500], [0.000, 0.500, 0.000], [0.500, 0.500, 0.500], [0.000, 0.000, 0.000]], "e_tot_ev_per_atom": -4.963, "sg": "Pm-3m, No. 221", "e_form_raw_mev_per_atom": 1352.4}



[9]
{"formula": "ZrSiO4", "functional": "PBEsol", "state": "relaxed", "lattice_angstrom": [[-2.855, 3.656, -0.960], [-2.483, -2.721, -2.978], [-0.480, -1.895, 5.898]], "species": ["Si", "Si", "O", "O", "O", "O", "O", "O", "O", "O", "Zr", "Zr"], "fractional_positions": [[0.250, 0.750, 0.500], [0.000, 0.000, 0.000], [0.080, 0.662, 0.843], [0.762, 0.181, 0.843], [0.819, 0.920, 0.157], [0.170, 0.088, 0.657], [0.488, 0.569, 0.657], [0.912, 0.512, 0.343], [0.338, 0.238, 0.157], [0.431, 0.830, 0.343], [0.750, 0.250, 0.500], [0.500, 0.500, 0.000]], "e_tot_ev_per_atom": -9.106, "sg": "I4_1/a, No. 88", "e_form_raw_mev_per_atom": -3133.9}



[10]
{"formula": "Sm2O3", "functional": "PBEsol", "state": "relaxed", "lattice_angstrom": [[-1.947, -1.928, -2.327], [3.354, -4.988, 4.103], [-7.180, 1.334, 4.903]], "species": ["Sm", "Sm", "Sm", "Sm", "Sm", "Sm", "O", "O", "O", "O", "O", "O", "O", "O", "O"], "fractional_positions": [[0.690, 0.380, 0.138], [0.635, 0.270, 0.488], [0.365, 0.730, 0.512], [0.034, 0.067, 0.812], [0.310, 0.620, 0.862], [0.966, 0.933, 0.188], [0.871, 0.742, 0.715], [0.500, 0.000, 0.000], [0.526, 0.053, 0.655], [0.825, 0.649, 0.027], [0.474, 0.947, 0.345], [0.204, 0.407, 0.626], [0.129, 0.258, 0.285], [0.796, 0.593, 0.374], [0.175, 0.351, 0.973]], "e_tot_ev_per_atom": -8.643, "sg": "C2/m, No. 12", "e_form_raw_mev_per_atom": -3456.7}



[11]
{"formula": "SmO3", "functional": "PBEsol", "state": "relaxed", "lattice_angstrom": [[-0.623, -2.853, 1.848], [5.412, 1.178, 3.644], [-5.856, 2.486, 1.863]], "species": ["O", "O", "O", "O", "O", "O", "Sm", "Sm"], "fractional_positions": [[0.750, 0.627, 0.058], [0.250, 0.373, 0.942], [0.750, 0.942, 0.569], [0.750, 0.431, 0.373], [0.250, 0.569, 0.627], [0.250, 0.058, 0.431], [0.250, 0.667, 0.333], [0.750, 0.333, 0.667]], "e_tot_ev_per_atom": -6.637, "sg": "P6_3/m, No. 176", "e_form_raw_mev_per_atom": -1427.0}